(1)
The following is a DFT calculation (GGA-PBE) of a geometry-optimized PaSiRh3 structure.

Lattice parameters (Å, degrees): 5.037 5.037 8.630 106.97 106.97 90.00
Fractional positions:
Pa: 0.878 0.378 0.755
Pa: 0.622 0.122 0.245
Rh: 0.122 0.869 0.245
Rh: 0.286 0.286 0.572
Rh: 0.131 0.878 0.755
Rh: 0.122 0.376 0.245
Rh: 0.624 0.878 0.755
Rh: 0.714 0.714 0.428
Si: 0.000 0.000 0.000
Si: 0.250 0.750 0.500

## Properties
D(E_F)   7.6 states/eV/cell
Mass density   9.46 g cm⁻³
Total DFT energy (no corrections)   -7.776 eV per atom

=====

(2)
The following is a DFT calculation (GGA-PBE) of a geometry-optimized RbSrTe2N structure.

Lattice parameters (Å, degrees): 6.467 6.467 5.065 90.00 90.00 90.00
Fractional positions:
Sr: 0.000 0.000 0.000
Rb: 0.500 0.500 0.500
Te: 0.500 0.000 0.000
Te: 0.000 0.500 0.000
N: 0.000 0.000 0.500

## Properties
Energy relative to the lowest polymorph listed for this composition   0.0000 eV per atom
D(E_F)   4.9 states/eV/cell
Mass density   3.47 g cm⁻³

=====

(3)
The following is a DFT calculation (GGA-PBE) of a geometry-optimized BePtAu2 structure.

Lattice parameters (Å, degrees): 6.359 6.359 6.359 154.15 145.58 43.54
Fractional positions:
Be: 0.750 0.250 0.500
Au: 0.927 0.927 0.000
Au: 0.573 0.573 0.000
Pt: 0.250 0.750 0.500

## Properties
D(E_F)   1.0 states/eV/cell
Mass density   15.71 g cm⁻³
Formation energy   -0.2052 eV/atom

=====

(4)
The following is a DFT calculation (GGA-PBE) of a geometry-optimized Sr2GaGe3Rh4 structure.

Lattice parameters (Å, degrees): 4.313 4.313 10.304 90.00 90.00 90.00
Fractional positions:
Rh: 0.500 0.500 0.000
Rh: 0.000 0.000 0.000
Rh: 0.500 0.000 0.629
Rh: 0.000 0.500 0.371
Ge: 0.500 0.000 0.876
Ge: 0.000 0.000 0.500
Ge: 0.000 0.500 0.124
Ga: 0.500 0.500 0.500
Sr: 0.000 0.500 0.751
Sr: 0.500 0.000 0.249

## Properties
D(E_F)   3.3 states/eV/cell
Mass density   7.57 g cm⁻³
Formation energy   -0.7338 eV/atom

=====

(5)
The following is a DFT calculation (GGA-PBE) of a geometry-optimized NaV2OsSe structure.

Lattice parameters (Å, degrees): 4.496 4.652 4.496 90.00 90.00 90.00
Fractional positions:
V: 0.500 0.000 0.000
V: 0.000 0.000 0.500
Se: 0.000 0.000 0.000
Na: 0.000 0.500 0.000
Os: 0.500 0.500 0.500

## Properties
D(E_F)   5.9 states/eV/cell
Mass density   6.96 g cm⁻³
Total DFT energy (no corrections)   -5.610 eV per atom

=====

(6)
The following is a DFT calculation (GGA-PBE) of a geometry-optimized InSb2Au structure.

Lattice parameters (Å, degrees): 4.106 4.106 7.670 74.37 74.37 59.93
Fractional positions:
Sb: 0.988 0.988 0.039
Sb: 0.512 0.512 0.461
In: 0.750 0.750 0.750
Au: 0.250 0.250 0.250

## Properties
D(E_F)   1.7 states/eV/cell
Mass density   8.67 g cm⁻³
Total DFT energy (no corrections)   -3.588 eV per atom